Entry from Alexandria via LeMat-Bulk: a geometry-optimized Sr7Ag3 structure (GGA-PBE).

Calculated values
Energy relative to the elements   -0.21 eV per atom
Spin magnetization   0.00 μB/f.u.
DOS(E_F)   15.26 states/eV/cell

Cell and atoms, written as CIF:
```
data_Sr7Ag3
_space_group_name_H-M_alt 'P 63 m c'
_space_group_IT_number 186
_space_group_name_Hall 'P 6c -2c'
_cell_length_a 11.3893
_cell_length_b 11.3893
_cell_length_c 7.2443
_cell_angle_alpha 90.00
_cell_angle_beta 90.00
_cell_angle_gamma 120.00
loop_
_atom_site_label
_atom_site_fract_x
_atom_site_fract_y
_atom_site_fract_z
_atom_site_occupancy
Sr1 0.0831 0.5416 0.0000 1
Sr2 0.1249 0.2497 0.6977 1
Sr3 0.3333 0.6667 0.4950 1
Ag1 0.1889 0.3777 0.2724 1
```